(1)
Computed, not measured: crystalline SmPaNb4 at its relaxed geometry at the PBE-GGA level of DFT.

abc: 5.7014 5.7014 5.7014
angles: 60.00 60.00 60.00
Fractional positions:
1 Sm 0.0000 0.0000 0.0000
2 Pa 0.2500 0.2500 0.2500
3 Nb 0.1267 0.6244 0.6244
4 Nb 0.6244 0.1267 0.6244
5 Nb 0.6244 0.6244 0.1267
6 Nb 0.6244 0.6244 0.6244

Results
Its crystal system is cubic. The calculation puts the formation energy at 0.18 eV/atom. The value obtained for the total energy is -53.40 eV per cell. The value obtained for the magnetic moment is 0.000 Bohr magnetons per cell. The density of states at the Fermi level is 1.372 states/eV per atom.

---

(2)
Computed, not measured: crystalline Fe2RuI8 at its relaxed geometry at the PBE-GGA level of DFT.

abc: 8.5098 8.5098 6.6704
angles: 90.81 90.81 78.44
Fractional positions:
1 Fe 0.1762 0.1762 0.1256
2 Fe 0.8238 0.8238 0.8744
3 Ru 0.0000 0.0000 0.5000
4 I 0.1036 0.7309 0.7232
5 I 0.1715 0.1715 0.7343
6 I 0.2691 0.8964 0.2768
7 I 0.3636 0.3636 0.1964
8 I 0.6364 0.6364 0.8036
9 I 0.7309 0.1036 0.7232
10 I 0.8285 0.8285 0.2657
11 I 0.8964 0.2691 0.2768

Results
Its crystal system is monoclinic. The uncorrected formation energy comes out at -0.12 eV per atom. The value obtained for the total energy is -39.90 eV per cell. The value obtained for the magnetic moment is 10.046 Bohr magnetons per cell. The density of states at the Fermi level is 0.199 states/eV per atom.

---

(3)
Computed, not measured: crystalline PmEu at its relaxed geometry at the PBE-GGA level of DFT.

abc: 4.2059 4.2059 4.2059
angles: 90.00 90.00 90.00
Fractional positions:
1 Pm 0.0000 0.0000 0.0000
2 Eu 0.5000 0.5000 0.5000

Results
Its crystal system is cubic. The calculation puts the formation energy at 0.14 eV/atom. The value obtained for the total energy is -14.75 eV per cell. The value obtained for the magnetic moment is 7.469 Bohr magnetons per cell. The density of states at the Fermi level is 1.299 states/eV per atom.

---

(4)
Computed, not measured: crystalline TiNb2H at its relaxed geometry at the PBE-GGA level of DFT.

abc: 5.7036 5.7036 8.0578
angles: 90.00 90.00 90.00
Fractional positions:
1 Ti 0.0000 0.2500 0.3750
2 Ti 0.0000 0.7500 0.6250
3 Ti 0.5000 0.2500 0.1250
4 Ti 0.5000 0.7500 0.8750
5 Nb 0.0000 0.0000 0.0000
6 Nb 0.0000 0.5000 0.0000
7 Nb 0.2500 0.2500 0.7500
8 Nb 0.2500 0.7500 0.2500
9 Nb 0.5000 0.0000 0.5000
10 Nb 0.5000 0.5000 0.5000
11 Nb 0.7500 0.2500 0.7500
12 Nb 0.7500 0.7500 0.2500
13 H 0.0000 0.2500 0.8750
14 H 0.0000 0.7500 0.1250
15 H 0.5000 0.2500 0.6250
16 H 0.5000 0.7500 0.3750

Results
As for the energy above the most stable polymorph in this dataset: 0.473 eV/atom. Its crystal system is tetragonal. The value obtained for the total energy is -120.18 eV per cell. The value obtained for the magnetic moment is 0.003 Bohr magnetons per cell. The density of states at the Fermi level is 2.373 states/eV per atom.

---

(5)
Computed, not measured: crystalline NpAlRh at its relaxed geometry at the PBE-GGA level of DFT.

abc: 3.0116 14.7346 4.4052
angles: 90.00 90.00 90.00
Fractional positions:
1 Np 0.0000 0.2412 0.2500
2 Np 0.0000 0.7588 0.7500
3 Np 0.5000 0.2588 0.7500
4 Np 0.5000 0.7412 0.2500
5 Al 0.0000 0.0735 0.7500
6 Al 0.0000 0.9265 0.2500
7 Al 0.5000 0.4265 0.2500
8 Al 0.5000 0.5735 0.7500
9 Rh 0.0000 0.4300 0.7500
10 Rh 0.0000 0.5700 0.2500
11 Rh 0.5000 0.0700 0.2500
12 Rh 0.5000 0.9300 0.7500

Results
Its crystal system is orthorhombic. The calculation puts the formation energy at -0.48 eV/atom. The value obtained for the total energy is -101.91 eV per cell. The value obtained for the magnetic moment is 9.826 Bohr magnetons per cell. The density of states at the Fermi level is 0.982 states/eV per atom.

---

(6)
Computed, not measured: crystalline Li3Ac2ZnGe4 at its relaxed geometry at the PBE-GGA level of DFT.

abc: 4.4108 4.4108 10.6754
angles: 90.00 90.00 90.00
Fractional positions:
1 Li 0.0000 0.0000 0.0000
2 Li 0.0000 0.5000 0.6259
3 Li 0.5000 0.0000 0.3741
4 Ac 0.0000 0.5000 0.2496
5 Ac 0.5000 0.0000 0.7504
6 Zn 0.5000 0.5000 0.0000
7 Ge 0.0000 0.0000 0.5000
8 Ge 0.0000 0.5000 0.8663
9 Ge 0.5000 0.0000 0.1337
10 Ge 0.5000 0.5000 0.5000

Results
Its crystal system is tetragonal. The calculation puts the formation energy at -0.56 eV/atom. The value obtained for the total energy is -39.29 eV per cell. The value obtained for the magnetic moment is 0.000 Bohr magnetons per cell. The density of states at the Fermi level is 0.261 states/eV per atom.

---

Question: Number 4 is which compound?
Answer: TiNb2H